# PuMgTl, relaxed, DFT PBE
# Energy in eV/atom: -5.99
# ΔE_f in kcal/mol of atoms: 2.4
# Spin magnetization in μB/f.u.: 5.7
# Crystal system: trigonal
# Space group: No. 166
# Volume in A^3/atom: 27.35
data_PuMgTl
_chemical_formula_sum 'Pu2 Mg2 Tl2'
_cell_length_a 4.997
_cell_length_b 4.997
_cell_length_c 8.118
_cell_angle_alpha 72.07
_cell_angle_beta 72.07
_cell_angle_gamma 60.00
_symmetry_space_group_name_H-M 'P 1'
_symmetry_Int_Tables_number 1
_symmetry_space_group_name_Hall 'P 1'
loop_
_atom_site_label
_atom_site_type_symbol
_atom_site_fract_x
_atom_site_fract_y
_atom_site_fract_z
Mg1 Mg 0.290 0.290 0.130
Tl1 Tl 0.421 0.421 0.737
Pu1 Pu 0.854 0.854 0.437
Mg2 Mg 0.710 0.710 0.870
Pu2 Pu 0.146 0.146 0.563
Tl2 Tl 0.579 0.579 0.263

***

# Pu2MgTl3, relaxed, DFT PBE
# Energy in eV/atom: -6.26
# ΔE_f in kcal/mol of atoms: -0.8
# Spin magnetization in μB/f.u.: 11.9
# Crystal system: tetragonal
# Space group: No. 123
# Volume in A^3/atom: 26.15
data_Pu2MgTl3
_chemical_formula_sum 'Pu2 Mg1 Tl3'
_cell_length_a 3.456
_cell_length_b 3.456
_cell_length_c 13.137
_cell_angle_alpha 90.00
_cell_angle_beta 90.00
_cell_angle_gamma 90.00
_symmetry_space_group_name_H-M 'P 1'
_symmetry_Int_Tables_number 1
_symmetry_space_group_name_Hall 'P 1'
loop_
_atom_site_label
_atom_site_type_symbol
_atom_site_fract_x
_atom_site_fract_y
_atom_site_fract_z
Tl1 Tl 0.000 0.000 0.352
Pu1 Pu 0.500 0.500 0.824
Tl2 Tl 0.000 0.000 0.000
Pu2 Pu 0.500 0.500 0.176
Tl3 Tl 0.000 0.000 0.648
Mg1 Mg 0.500 0.500 0.500

***

# PuMg4Tl2, relaxed, DFT PBE
# Energy in eV/atom: -3.65
# ΔE_f in kcal/mol of atoms: -0.4
# Spin magnetization in μB/f.u.: 5.8
# Crystal system: trigonal
# Space group: No. 166
# Volume in A^3/atom: 24.90
data_PuMg4Tl2
_chemical_formula_sum 'Pu1 Mg4 Tl2'
_cell_length_a 4.990
_cell_length_b 4.990
_cell_length_c 8.581
_cell_angle_alpha 73.10
_cell_angle_beta 73.10
_cell_angle_gamma 60.00
_symmetry_space_group_name_H-M 'P 1'
_symmetry_Int_Tables_number 1
_symmetry_space_group_name_Hall 'P 1'
loop_
_atom_site_label
_atom_site_type_symbol
_atom_site_fract_x
_atom_site_fract_y
_atom_site_fract_z
Pu1 Pu 0.000 0.000 0.000
Tl1 Tl 0.270 0.270 0.190
Mg1 Mg 0.427 0.427 0.720
Tl2 Tl 0.730 0.730 0.810
Mg2 Mg 0.573 0.573 0.280
Mg3 Mg 0.859 0.859 0.422
Mg4 Mg 0.141 0.141 0.578

***

Q: The highest ΔE_f belongs to which entry?
A: PuMgTl